# LaSb3Ir

A relaxed LaSb3Ir crystal (PBE-GGA, the Alexandria database).

Geometry as CIF:
```
data_LaSb3Ir
_cell_length_a 5.9251
_cell_length_b 5.9251
_cell_length_c 5.9251
_cell_angle_alpha 90.00
_cell_angle_beta 90.00
_cell_angle_gamma 90.00
_symmetry_space_group_name_H-M 'P m -3 m'
_symmetry_Int_Tables_number 221
_symmetry_space_group_name_Hall '-P 4 2 3'
loop_
_atom_site_label
_atom_site_fract_x
_atom_site_fract_y
_atom_site_fract_z
La1 0.0000 0.0000 0.0000
Sb1 0.0000 0.0000 0.5000
Ir1 0.5000 0.5000 0.5000
```

Total moment ... 2.28 μB/cell
Distance to the lowest polymorph of the same formula ... 2.139 eV/atom
Volume ... 208.0 Å³ per cell
Raw formation energy ... 1.601 eV per atom

=====

# LaSbIr4

A relaxed LaSbIr4 crystal (PBE-GGA, the Alexandria database).

Geometry as CIF:
```
data_LaSbIr4
_cell_length_a 7.6592
_cell_length_b 7.6592
_cell_length_c 7.6592
_cell_angle_alpha 90.00
_cell_angle_beta 90.00
_cell_angle_gamma 90.00
_symmetry_space_group_name_H-M 'F -4 3 m'
_symmetry_Int_Tables_number 216
_symmetry_space_group_name_Hall 'F -4 2 3'
loop_
_atom_site_label
_atom_site_fract_x
_atom_site_fract_y
_atom_site_fract_z
La1 0.0000 0.0000 0.0000
Sb1 0.2500 0.2500 0.7500
Ir1 0.1242 0.1242 0.3758
```

Total moment ... 0.00 μB/cell
Volume ... 449.3 Å³ per cell
Raw formation energy ... -0.239 eV per atom

=====

# La3SbIr

A relaxed La3SbIr crystal (PBE-GGA, the Alexandria database).

Geometry as CIF:
```
data_La3SbIr
_cell_length_a 5.7747
_cell_length_b 7.4918
_cell_length_c 8.9311
_cell_angle_alpha 66.07
_cell_angle_beta 71.20
_cell_angle_gamma 67.33
_symmetry_space_group_name_H-M 'P -1'
_symmetry_Int_Tables_number 2
_symmetry_space_group_name_Hall '-P 1'
loop_
_atom_site_label
_atom_site_fract_x
_atom_site_fract_y
_atom_site_fract_z
La1 0.0995 0.0340 0.2674
La2 0.1610 0.3195 0.8579
La3 0.3720 0.3786 0.3786
Sb1 0.3732 0.8018 0.9519
Ir1 0.1326 0.6720 0.5615
```

Total moment ... 0.00 μB/cell
Distance to the lowest polymorph of the same formula ... 0.122 eV/atom
Volume ... 319.5 Å³ per cell
Raw formation energy ... -0.770 eV per atom

=====

# LaSb2Ir

A relaxed LaSb2Ir crystal (PBE-GGA, the Alexandria database).

Geometry as CIF:
```
data_LaSb2Ir
_cell_length_a 5.9100
_cell_length_b 8.0441
_cell_length_c 4.3477
_cell_angle_alpha 90.00
_cell_angle_beta 90.00
_cell_angle_gamma 90.00
_symmetry_space_group_name_H-M 'C m m m'
_symmetry_Int_Tables_number 65
_symmetry_space_group_name_Hall '-C 2 2'
loop_
_atom_site_label
_atom_site_fract_x
_atom_site_fract_y
_atom_site_fract_z
La1 0.0000 0.0000 0.0000
Sb1 0.0000 0.3044 0.5000
Ir1 0.0000 0.5000 0.0000
```

Total moment ... 0.00 μB/cell
Volume ... 206.7 Å³ per cell
Raw formation energy ... -0.737 eV per atom

=====

# LaSb2Ir

A relaxed LaSb2Ir crystal (PBE-GGA, the Alexandria database).

Geometry as CIF:
```
data_LaSb2Ir
_cell_length_a 4.4954
_cell_length_b 5.8000
_cell_length_c 7.5138
_cell_angle_alpha 90.00
_cell_angle_beta 90.00
_cell_angle_gamma 90.00
_symmetry_space_group_name_H-M 'C m m m'
_symmetry_Int_Tables_number 65
_symmetry_space_group_name_Hall '-C 2 2'
loop_
_atom_site_label
_atom_site_fract_x
_atom_site_fract_y
_atom_site_fract_z
La1 0.0000 0.0000 0.0000
Sb1 0.0000 0.5000 0.3000
Ir1 0.0000 0.0000 0.5000
```

Total moment ... 0.00 μB/cell
Volume ... 195.9 Å³ per cell
Raw formation energy ... -0.280 eV per atom

=====

# LaSb2Ir

A relaxed LaSb2Ir crystal (PBE-GGA, the Alexandria database).

Geometry as CIF:
```
data_LaSb2Ir
_cell_length_a 3.7236
_cell_length_b 3.7236
_cell_length_c 7.0856
_cell_angle_alpha 90.00
_cell_angle_beta 90.00
_cell_angle_gamma 90.00
_symmetry_space_group_name_H-M 'P 4 m m'
_symmetry_Int_Tables_number 99
_symmetry_space_group_name_Hall 'P 4 -2'
loop_
_atom_site_label
_atom_site_fract_x
_atom_site_fract_y
_atom_site_fract_z
La1 0.0000 0.0000 0.0000
Sb1 0.0000 0.0000 0.5524
Sb2 0.5000 0.5000 0.2907
Ir1 0.5000 0.5000 0.6904
```

Total moment ... 0.00 μB/cell
Volume ... 98.2 Å³ per cell
Raw formation energy ... -0.308 eV per atom

=====

# La3Sb5Ir6

A relaxed La3Sb5Ir6 crystal (PBE-GGA, the Alexandria database).

Geometry as CIF:
```
data_La3Sb5Ir6
_cell_length_a 4.3215
_cell_length_b 12.8121
_cell_length_c 11.1732
_cell_angle_alpha 90.00
_cell_angle_beta 90.00
_cell_angle_gamma 90.00
_symmetry_space_group_name_H-M 'P m m n'
_symmetry_Int_Tables_number 59
loop_
_symmetry_equiv_pos_as_xyz
'x,y,z'
'-x,-y,-z'
'-x+1/2,-y+1/2,z'
'x+1/2,y+1/2,-z'
'x+1/2,-y,-z'
'-x+1/2,y,z'
'-x,y+1/2,-z'
'x,-y+1/2,z'
loop_
_atom_site_label
_atom_site_fract_x
_atom_site_fract_y
_atom_site_fract_z
La1 0.2500 0.0814 0.2368
La2 0.2500 0.7500 0.2413
Sb1 0.2500 0.0817 0.6363
Sb2 0.2500 0.6174 0.9882
Sb3 0.2500 0.7500 0.6419
Ir1 0.2500 0.0653 0.8664
Ir2 0.2500 0.2500 0.5000
Ir3 0.2500 0.2500 0.9975
Ir4 0.2500 0.5852 0.4982
```

Total moment ... 0.00 μB/cell
Volume ... 618.6 Å³ per cell
Raw formation energy ... -0.644 eV per atom

=====

# LaSb4Ir

A relaxed LaSb4Ir crystal (PBE-GGA, the Alexandria database).

Geometry as CIF:
```
data_LaSb4Ir
_cell_length_a 8.6236
_cell_length_b 8.6236
_cell_length_c 8.6236
_cell_angle_alpha 90.00
_cell_angle_beta 90.00
_cell_angle_gamma 90.00
_symmetry_space_group_name_H-M 'F -4 3 m'
_symmetry_Int_Tables_number 216
_symmetry_space_group_name_Hall 'F -4 2 3'
loop_
_atom_site_label
_atom_site_fract_x
_atom_site_fract_y
_atom_site_fract_z
La1 0.0000 0.0000 0.0000
Sb1 0.1242 0.1242 0.6242
Ir1 0.2500 0.2500 0.2500
```

Total moment ... 0.62 μB/cell
Volume ... 641.3 Å³ per cell
Raw formation energy ... 0.296 eV per atom

=====

Look up the total moment of the seventh one. 0.00 μB/cell